This record from Alexandria via LeMat-Bulk describes a PBEsol-optimized structure of Rb2PdRuPt. The functional is meta-GGA SCAN.

As for the volume: 171 Å³/f.u. Its formation enthalpy at 0 K is 1.2936 eV per atom. The density of states at the Fermi level comes out at 1.77 states/eV/cell.

The structure belongs to space group P4/mmm (No. 123); the cell edges are 5.9376, 5.9376 and 4.8500 Å and the angles 90.00°, 90.00° and 90.00°. The distinct sites, in fractional coordinates, are Rb at (0.0000, 0.5000, 0.0000), Pd at (0.0000, 0.0000, 0.0000), Ru at (0.5000, 0.5000, 0.5000) and Pt at (0.0000, 0.0000, 0.5000).